No. 1
DFT (PBEsol) results for a geometry-optimized CaNbSiB2 structure.

Calculated values
total magnetic moment: 0.54 μB per formula unit
space-group type: P4/mmm (123)
uncorrected formation energy: 1592 meV per atom
volume: 15.4 Å³ per atom

Lattice parameters (Å, degrees): 4.0289 4.0289 4.7538 90.00 90.00 90.00
Closest atoms and distances in Å follow each position.
Sites, in units of the cell vectors:
Nb (0.5000, 0.5000, 0.5000)  4 Ca 2.85, 8 B 3.12
B (0.0000, 0.5000, 0.0000)  2 Si 2.01
B (0.5000, 0.0000, 0.0000)  2 Si 2.01
Si (0.0000, 0.0000, 0.0000)  4 B 2.01
Ca (0.0000, 0.0000, 0.5000)  2 Si 2.38

No. 2
DFT (PBEsol) results for a geometry-optimized Lu2Ni12P7 structure.

Calculated values
total magnetic moment: 0.00 μB per formula unit
energy relative to the elements: -0.849 eV/atom
space-group type: P-6 (174)
volume: 11.8 Å³ per atom

Lattice parameters (Å, degrees): 3.6033 8.9026 8.9026 120.00 90.00 90.00
Closest atoms and distances in Å follow each position.
Sites, in units of the cell vectors:
Lu (0.0000, 0.0000, 0.0000)  6 P 2.81, 9 Ni 2.95-3.01
Lu (0.5000, 0.6667, 0.3333)  6 P 2.80, 9 Ni 2.89-3.08
Ni (0.0000, 0.1811, 0.7904)  4 P 2.13-2.27
Ni (0.0000, 0.6093, 0.8189)  4 P 2.13-2.27
Ni (0.0000, 0.2096, 0.3907)  4 P 2.13-2.27
Ni (0.5000, 0.9522, 0.7173)  4 P 2.21-2.29
Ni (0.5000, 0.7651, 0.0478)  4 P 2.21-2.29
Ni (0.5000, 0.2827, 0.2349)  4 P 2.21-2.29
Ni (0.0000, 0.8970, 0.2920)  4 P 2.19-2.30
Ni (0.0000, 0.3950, 0.1030)  4 P 2.19-2.30
Ni (0.0000, 0.7080, 0.6050)  4 P 2.19-2.30
Ni (0.5000, 0.1161, 0.5446)  5 P 2.28-2.50
Ni (0.5000, 0.4284, 0.8839)  5 P 2.28-2.50
Ni (0.5000, 0.4554, 0.5716)  5 P 2.28-2.50
P (0.5000, 0.2206, 0.9617)  7 Ni 2.21-2.30
P (0.5000, 0.7411, 0.7794)  7 Ni 2.21-2.30
P (0.5000, 0.0383, 0.2589)  7 Ni 2.21-2.30
P (0.0000, 0.9257, 0.5514)  5 Ni 2.19-2.27
P (0.0000, 0.6257, 0.0743)  5 Ni 2.19-2.27
P (0.0000, 0.4486, 0.3743)  5 Ni 2.19-2.27
P (0.0000, 0.3333, 0.6667)  3 Ni 2.13

No. 3
DFT (PBEsol) results for a geometry-optimized YAlMo2 structure.

Calculated values
total magnetic moment: 0.00 μB per formula unit
energy relative to the elements: 0.382 eV/atom
space-group type: Cmmm (65)
volume: 17.6 Å³ per atom

Lattice parameters (Å, degrees): 2.7448 5.3347 5.3347 115.77 90.00 90.00
Closest atoms and distances in Å follow each position.
Sites, in units of the cell vectors:
Y (0.5000, 0.0000, 0.0000)  2 Y 2.74, 2 Al 2.84, 8 Mo 3.00
Mo (0.0000, 0.5000, 0.0000)  4 Mo 2.74-2.84, 4 Al 3.00, 4 Y 3.00
Mo (0.0000, 0.0000, 0.5000)  4 Mo 2.74-2.84, 4 Y 3.00, 4 Al 3.00
Al (0.5000, 0.5000, 0.5000)  2 Al 2.74, 2 Y 2.84, 8 Mo 3.00

No. 4
DFT (PBEsol) results for a geometry-optimized ZrTa2Cl structure.

Calculated values
total magnetic moment: 0.00 μB per formula unit
space-group type: F-43m (216)
uncorrected formation energy: 537 meV per atom
energy above the lowest structure with this stoichiometry: 665 meV per atom
volume: 18.3 Å³ per atom

Lattice parameters (Å, degrees): 4.6917 4.6917 4.6917 60.00 60.00 60.00
Closest atoms and distances in Å follow each position.
Sites, in units of the cell vectors:
Cl (0.5000, 0.5000, 0.5000)  4 Zr 2.87, 4 Ta 2.87
Zr (0.2500, 0.2500, 0.2500)  4 Ta 2.87, 4 Cl 2.87
Ta (0.0000, 0.0000, 0.0000)  4 Ta 2.87, 4 Zr 2.87
Ta (0.7500, 0.7500, 0.7500)  4 Ta 2.87, 4 Cl 2.87